# 1
This record from Alexandria via LeMat-Bulk describes a relaxed structure of KFe2Se. The functional is GGA-PBEsol.

```
KFe2Se
1.0
-2.856 0.809 -1.150
-0.537 -3.033 -0.801
-3.029 -1.223 6.663
Fe K Se
2 1 1
Direct
0.000 0.000 0.012
0.500 0.500 0.151
0.000 0.000 0.508
0.500 0.500 0.829
```

Results
Calculated total energy (eV/atom): -5.47
Raw formation energy (meV/atom): 256
Total moment (μB per atom): 1.37



# 2
This record from Alexandria via LeMat-Bulk describes a relaxed structure of ReNiPt. The functional is GGA-PBEsol.

```
ReNiPt
1.0
2.680 0.000 0.000
0.000 3.762 0.000
-1.340 -1.881 3.948
Re Pt Ni
1 1 1
Direct
0.338 0.338 0.677
0.667 0.667 0.333
0.995 0.995 0.990
```

Results
Energy relative to the elements (eV/atom): -0.10
E above lowest polymorph (eV/atom): 0.000
Calculated total energy (eV/atom): -8.92
Total moment (μB per atom): 0.00